Here is a relaxed PuGaNiRu crystal from Alexandria. Energies are from PBE.

Computed properties:
- Formation energy: -0.86 eV per formula unit
- VASP energy: -0.61147 Ry/atom

Geometry as extended XYZ:
```
4
Lattice="0.000 3.193 3.193 3.193 0.000 3.193 3.193 3.193 0.000" Properties=species:S:1:pos:R:3 pbc="T T T"
Pu 0.000 0.000 0.000
Ga 3.193 3.193 3.193
Ni 4.789 4.789 4.789
Ru 1.596 1.596 1.596
```